[1]
6
Lattice="-0.245 1.483 2.377 -3.037 -3.332 0.102 6.883 -2.468 2.249" Properties=species:S:1:pos:R:3 comment="Al2Cu | the Alexandria database | PBEsol | optimized geometry" dos_at_fermi_per_ev_fu=0.9 crystal_system=monoclinic delta_e_f_ev_per_atom=-0.06 pbc="T T T"
Al 1.435 -1.235 2.583
Al 0.098 -0.271 0.179
Al 2.690 -3.653 2.557
Al -0.752 -2.419 1.432
Cu 3.698 -1.507 1.321
Cu 4.718 -2.469 3.691

***

[2]
5
Lattice="5.404 0.000 0.000 0.000 5.476 0.000 0.000 0.000 5.476" Properties=species:S:1:pos:R:3 comment="HfCdSb2Te | the Alexandria database | PBEsol | optimized geometry" dos_at_fermi_per_ev_fu=4.6 final_energy_ev_per_atom=-4.6417 crystal_system=tetragonal pbc="T T T"
Hf 0.000 0.000 0.000
Sb 0.000 2.738 0.000
Sb 0.000 0.000 2.738
Te 2.702 0.000 0.000
Cd 2.702 2.738 2.738

***

[3]
4
Lattice="4.821 -0.109 0.000 -0.168 4.829 0.000 0.000 0.000 5.297" Properties=species:S:1:pos:R:3 comment="BaLa2Au | the Alexandria database | PBEsol | optimized geometry" dos_at_fermi_per_ev_fu=5.1 crystal_system=orthorhombic delta_e_f_ev_per_atom=-0.07 pbc="T T T"
La 2.410 -0.055 0.000
La -0.084 2.414 0.000
Ba 2.326 2.360 2.649
Au 0.000 0.000 2.649

***

[4]
5
Lattice="5.586 0.000 0.000 0.000 5.586 0.000 0.000 0.000 5.586" Properties=species:S:1:pos:R:3 comment="KMgBi3 | the Alexandria database | PBEsol | optimized geometry" dos_at_fermi_per_ev_fu=2.7 crystal_system=cubic delta_e_f_ev_per_atom=0.09 pbc="T T T"
Bi 0.000 0.000 2.793
Bi 0.000 2.793 0.000
Bi 2.793 0.000 0.000
Mg 0.000 0.000 0.000
K 2.793 2.793 2.793

***

[5]
4
Lattice="3.755 0.077 0.000 -0.077 3.755 0.000 0.000 0.000 6.726" Properties=species:S:1:pos:R:3 comment="MgCuTe2 | the Alexandria database | PBEsol | optimized geometry" dos_at_fermi_per_ev_fu=1.8 final_energy_ev_per_atom=-3.5267 crystal_system=tetragonal pbc="T T T"
Cu 0.000 0.000 3.387
Te 0.000 0.000 0.702
Te 1.839 1.916 4.367
Mg 1.839 1.916 1.633

***

[6]
4
Lattice="-1.689 -2.636 0.729 1.663 -2.024 -3.467 4.997 0.149 5.033" Properties=species:S:1:pos:R:3 comment="NiHgPb2 | the Alexandria database | PBEsol | optimized geometry" dos_at_fermi_per_ev_fu=1.7 crystal_system=orthorhombic delta_e_f_ev_per_atom=0.11 pbc="T T T"
Hg -0.845 -1.318 0.364
Ni 0.832 -1.012 -1.733
Pb 3.272 -1.432 2.405
Pb 1.699 -3.079 -0.110

***

[7]
5
Lattice="3.946 0.000 0.000 0.000 4.125 0.000 0.000 0.000 4.125" Properties=species:S:1:pos:R:3 comment="LaAuNO2 | the Alexandria database | PBEsol | optimized geometry" dos_at_fermi_per_ev_fu=2.5 final_energy_ev_per_atom=-6.4481 crystal_system=tetragonal pbc="T T T"
O 0.000 2.062 0.000
O 0.000 0.000 2.062
Au 0.000 0.000 0.000
N 1.973 0.000 0.000
La 1.973 2.062 2.062

***

[8]
5
Lattice="4.171 0.000 0.000 0.000 4.171 0.000 0.000 0.000 5.727" Properties=species:S:1:pos:R:3 comment="YInPO2 | the Alexandria database | PBEsol | optimized geometry" dos_at_fermi_per_ev_fu=3.7 final_energy_ev_per_atom=-6.2158 crystal_system=tetragonal pbc="T T T"
Y 0.000 0.000 0.000
O 0.000 2.086 0.000
O 2.086 0.000 0.000
P 0.000 0.000 2.864
In 2.086 2.086 2.864

***

[9]
10
Lattice="-2.019 -5.893 0.818 6.214 -1.042 -0.263 -2.527 2.699 5.109" Properties=species:S:1:pos:R:3 comment="Sc2S3 | the Alexandria database | PBEsol | optimized geometry" final_energy_ev_per_atom=-7.2320 crystal_system=monoclinic pbc="T T T"
Sc -0.628 -1.493 3.730
Sc 2.296 -2.744 1.934
Sc -1.010 -2.947 0.409
Sc 1.843 0.829 2.423
S 0.815 0.348 4.718
S -2.009 -3.360 2.704
S 3.676 -0.876 2.960
S 0.852 -4.584 0.946
S 0.440 -1.061 1.455
S 1.228 -3.175 4.209

***

[10]
4
Lattice="5.636 0.000 0.000 2.818 4.881 0.000 2.818 1.627 4.601" Properties=species:S:1:pos:R:3 comment="K2LaW | the Alexandria database | PBEsol | optimized geometry" dos_at_fermi_per_ev_fu=4.6 crystal_system=cubic delta_e_f_ev_per_atom=1.88 pbc="T T T"
K 2.818 1.627 1.150
K 8.453 4.881 3.451
W 5.636 3.254 2.301
La 0.000 0.000 0.000

***

[11]
5
Lattice="4.590 0.000 0.000 0.000 4.856 0.000 0.000 0.000 4.856" Properties=species:S:1:pos:R:3 comment="Li2ScTiCd | the Alexandria database | PBEsol | optimized geometry" dos_at_fermi_per_ev_fu=4.8 crystal_system=tetragonal delta_e_f_ev_per_atom=0.97 pbc="T T T"
Sc 0.000 0.000 0.000
Ti 2.295 0.000 0.000
Cd 2.295 2.428 2.428
Li 0.000 0.000 2.428
Li 0.000 2.428 0.000

***

[12]
4
Lattice="-0.985 3.382 0.582 -3.281 -1.106 0.872 2.065 -0.603 7.001" Properties=species:S:1:pos:R:3 comment="Y2MgPt | the Alexandria database | PBEsol | optimized geometry" dos_at_fermi_per_ev_fu=2.5 crystal_system=tetragonal delta_e_f_ev_per_atom=-0.66 pbc="T T T"
Mg -2.133 1.138 0.727
Y 1.485 -0.433 5.034
Y 0.580 -0.169 1.967
Pt -1.100 0.837 4.228

***

no.,total magnetization (μB per formula unit)
1,0.0
2,0.0
3,0.0
4,0.0
5,0.0
6,0.0
7,0.0
8,1.1
9,0.0
10,2.8
11,0.0
12,0.0